This record from Alexandria describes a geometry-optimized Ac8Ir3OsI4 structure. The functional is PBE-GGA.

Values from the calculation:
Space group ... C2/m

a = 8.7840 Å, b = 9.9999 Å, c = 8.7852 Å
α = 116.12°, β = 120.00°, γ = 90.00°
Element x y z (fractional)
Ac  0.2261  0.6839  0.9580
Ac  0.2262  0.6837  0.4524
Ac  0.2724  0.3173  0.5448
Ac  0.7318  0.6839  0.9580
Ac  0.2682  0.3161  0.0420
Ac  0.7276  0.6827  0.4552
Ac  0.7738  0.3163  0.5476
Ac  0.7739  0.3161  0.0420
Ir  0.5000  0.5000  0.0000
Ir  0.5000  0.5000  0.5000
Ir  0.0000  0.5000  0.5000
Os  0.0000  0.5000  0.0000
I  0.5000  0.0000  0.0000
I  0.5000  0.0000  0.5000
I  0.0000  0.0000  0.0000
I  0.0000  0.0000  0.5000

---

This record from Alexandria describes a geometry-optimized Ac8PIr3I4 structure. The functional is PBE-GGA.

Values from the calculation:
Space group ... R-3m

a = 8.9093 Å, b = 9.9831 Å, c = 8.9105 Å
α = 116.52°, β = 120.00°, γ = 90.00°
Element x y z (fractional)
Ac  0.2341  0.6847  0.9507
Ac  0.2342  0.6847  0.4683
Ac  0.2718  0.3156  0.5436
Ac  0.7166  0.6847  0.9507
Ac  0.2834  0.3153  0.0493
Ac  0.7282  0.6844  0.4564
Ac  0.7658  0.3153  0.5317
Ac  0.7659  0.3153  0.0493
P  0.0000  0.5000  0.0000
Ir  0.5000  0.5000  0.0000
Ir  0.5000  0.5000  0.5000
Ir  0.0000  0.5000  0.5000
I  0.5000  0.0000  0.0000
I  0.5000  0.0000  0.5000
I  0.0000  0.0000  0.0000
I  0.0000  0.0000  0.5000

---

This record from Alexandria describes a geometry-optimized Ac8P3IrI4 structure. The functional is PBE-GGA.

Values from the calculation:
Space group ... R-3m

a = 8.9687 Å, b = 9.6498 Å, c = 8.9689 Å
α = 117.69°, β = 120.00°, γ = 90.00°
Element x y z (fractional)
Ac  0.2265  0.6931  0.9666
Ac  0.2266  0.6932  0.4532
Ac  0.2676  0.3027  0.5352
Ac  0.7401  0.6931  0.9666
Ac  0.2599  0.3069  0.0334
Ac  0.7324  0.6973  0.4648
Ac  0.7734  0.3068  0.5468
Ac  0.7735  0.3069  0.0334
P  0.5000  0.5000  0.0000
P  0.5000  0.5000  0.5000
P  0.0000  0.5000  0.5000
Ir  0.0000  0.5000  0.0000
I  0.5000  0.0000  0.0000
I  0.5000  0.0000  0.5000
I  0.0000  0.0000  0.0000
I  0.0000  0.0000  0.5000

---

This record from Alexandria describes a geometry-optimized Ac4PIrI2 structure. The functional is PBE-GGA.

Values from the calculation:
Space group ... P2/m

a = 4.3457 Å, b = 8.0281 Å, c = 8.7281 Å
α = 106.21°, β = 90.00°, γ = 90.00°
Element x y z (fractional)
Ac  0.5000  0.2374  0.1923
Ac  0.5000  0.7626  0.8077
Ac  0.0000  0.2879  0.8152
Ac  0.0000  0.7121  0.1848
P  0.0000  0.0000  0.0000
Ir  0.5000  0.5000  0.0000
I  0.5000  0.0000  0.5000
I  0.0000  0.5000  0.5000

---

This record from Alexandria describes a geometry-optimized Ac8Ir3PbI4 structure. The functional is PBE-GGA.

Values from the calculation:
Space group ... R-3m

a = 9.0990 Å, b = 10.0288 Å, c = 9.1002 Å
α = 117.02°, β = 120.00°, γ = 90.00°
Element x y z (fractional)
Ac  0.2431  0.6877  0.9451
Ac  0.2430  0.6877  0.4859
Ac  0.2707  0.3126  0.5414
Ac  0.7021  0.6877  0.9451
Ac  0.2979  0.3123  0.0549
Ac  0.7293  0.6874  0.4586
Ac  0.7570  0.3123  0.5141
Ac  0.7569  0.3123  0.0549
Ir  0.5000  0.5000  0.0000
Ir  0.5000  0.5000  0.5000
Ir  0.0000  0.5000  0.5000
Pb  0.0000  0.5000  0.0000
I  0.5000  0.0000  0.0000
I  0.5000  0.0000  0.5000
I  0.0000  0.0000  0.0000
I  0.0000  0.0000  0.5000

---

This record from Alexandria describes a geometry-optimized Ac3IrPbI structure. The functional is PBE-GGA.

Values from the calculation:
Space group ... P2_1/m

a = 4.1913 Å, b = 8.0767 Å, c = 13.2534 Å
α = 102.76°, β = 90.00°, γ = 90.00°
Element x y z (fractional)
Ac  0.2500  0.7165  0.5071
Ac  0.7500  0.0453  0.1280
Ac  0.7500  0.5533  0.1311
Ac  0.7500  0.2835  0.4929
Ac  0.2500  0.4467  0.8689
Ac  0.2500  0.9547  0.8720
Ir  0.2500  0.7683  0.0479
Ir  0.7500  0.2317  0.9521
Pb  0.7500  0.6331  0.6988
Pb  0.2500  0.3669  0.3011
I  0.2500  0.1183  0.6464
I  0.7500  0.8817  0.3536

---

Looking at E_form (uncorrected) for the records above, in order, we have -950; -1091; -1212; -1134; -950; -686 meV per atom.
Looking at V for the records above, in order, we have 575.5; 588.1; 567.2; 292.4; 612.3; 437.6 Å³ per cell.